No. 1
An optimized crystal structure of LaMn2Co. Source: Alexandria, functional PBE-GGA.

Computed properties:
raw total energy = -7.367 eV per atom
E_form = 0.906 eV per formula unit

Geometry as CIF:
```
data_LaMn2Co
_space_group_name_H-M_alt 'P 1'
_space_group_IT_number 1
_space_group_name_Hall 'P 1'
_cell_length_a 3.1198
_cell_length_b 3.1198
_cell_length_c 7.1167
_cell_angle_alpha 90.00
_cell_angle_beta 90.00
_cell_angle_gamma 90.00
loop_
_atom_site_label
_atom_site_type_symbol
_atom_site_fract_x
_atom_site_fract_y
_atom_site_fract_z
La1 La 0.0000 0.0000 0.0000
Mn1 Mn 0.0000 0.0000 0.5321
Mn2 Mn 0.5000 0.5000 0.3571
Co1 Co 0.5000 0.5000 0.7131
```

***

No. 2
An optimized crystal structure of BaLaZn2Au2. Source: Alexandria, functional PBE-GGA.

Computed properties:
raw total energy = -3.276 eV per atom
E_form = -3.703 eV per formula unit

Geometry as CIF:
```
data_BaLaZn2Au2
_space_group_name_H-M_alt 'P 1'
_space_group_IT_number 1
_space_group_name_Hall 'P 1'
_cell_length_a 4.6922
_cell_length_b 4.6922
_cell_length_c 8.2565
_cell_angle_alpha 90.00
_cell_angle_beta 90.00
_cell_angle_gamma 120.00
loop_
_atom_site_label
_atom_site_type_symbol
_atom_site_fract_x
_atom_site_fract_y
_atom_site_fract_z
Ba1 Ba 0.0000 0.0000 0.0000
La1 La 0.0000 0.0000 0.5000
Zn1 Zn 0.3333 0.6667 0.2816
Zn2 Zn 0.6667 0.3333 0.7184
Au1 Au 0.3333 0.6667 0.7140
Au2 Au 0.6667 0.3333 0.2860
```

***

| no. | size of the total moment (μB per cell) |
| --- | --- |
| 1 | 0.8 |
| 2 | 0.0 |